This record from the Alexandria database describes crystalline Rb4TlV3F12 at its relaxed geometry. The functional is GGA+U.

```
Rb4TlV3F12
1.0
7.708 0.000 0.000
-2.569 7.268 0.000
-2.569 -3.634 6.294
Rb Tl V F
4 1 3 12
direct
0.500 0.500 0.500
0.000 0.000 0.500
0.500 0.000 0.000
0.000 0.500 0.000
0.000 0.000 0.000
0.500 0.000 0.500
0.500 0.500 0.000
0.000 0.500 0.500
0.250 0.500 0.750
0.719 0.000 0.719
0.281 0.000 0.281
0.750 0.500 0.250
0.719 0.719 0.000
0.281 0.281 0.000
0.750 0.250 0.500
0.250 0.750 0.500
0.500 0.250 0.750
0.000 0.719 0.719
0.500 0.750 0.250
0.000 0.281 0.281
```

Computed properties:
- VASP energy: -5.1759 eV/atom
- Space-group type: Im-3m, No. 229
- Density: 4.366 Mg/m³